Below is a crystal of BaLi2Se2 relaxed with PBEsol, with properties calculated at the SCAN level.

Computed properties:
Magnetic moment, μB per cell: 0.00
Energy relative to the elements, uncorrected, eV per formula unit: -8.73

a = 4.099 Å, b = 4.099 Å, c = 7.280 Å
α = 106.35°, β = 106.35°, γ = 90.00°
Fractional positions:
Se1 0.363 0.363 0.727
Ba1 0.000 0.000 0.000
Se2 0.637 0.637 0.273
Li1 0.750 0.250 0.500
Li2 0.250 0.750 0.500

Below is a crystal of K3Sb relaxed with PBEsol, with properties calculated at the SCAN level.

Computed properties:
ΔE to the lowest computed polymorph, eV per atom: 0.1911
Magnetic moment, μB per cell: 0.00
Energy relative to the elements, uncorrected, eV per formula unit: -1.25

a = 5.365 Å, b = 5.363 Å, c = 5.363 Å
α = 90.00°, β = 90.00°, γ = 90.00°
Fractional positions:
K1 0.500 0.000 0.500
Sb1 0.000 0.500 0.500
K2 0.500 0.500 0.000
K3 0.000 0.000 0.000

Below is a crystal of RbNbN2O relaxed with PBEsol, with properties calculated at the SCAN level.

Computed properties:
Magnetic moment, μB per cell: 1.18
Energy relative to the elements, uncorrected, eV per formula unit: 12.20

a = 4.033 Å, b = 4.195 Å, c = 4.195 Å
α = 90.00°, β = 90.00°, γ = 90.00°
Site moments in Bohr magnetons follow the coordinates.
Fractional positions:
Nb1 0.500 0.500 0.500  1.77
N1 0.000 0.500 0.000  -0.31
O1 0.500 0.000 0.000  -0.13
N2 0.000 0.000 0.500  -0.31
Rb1 0.000 0.000 0.000  0.01